1.
The following is a PBE calculation of a relaxed LiTh2Sn8 crystal, from the Alexandria database.

Structure (POSCAR):
```
LiTh2Sn8
1.0
4.7492 0.0000 0.0000
0.0000 4.7492 0.0000
0.0000 0.0000 12.7347
Li Th Sn
1 2 8
direct
0.0000 0.0000 0.0000
0.0000 0.0000 0.3143
0.0000 0.0000 0.6857
0.0000 0.5000 0.1250
0.0000 0.5000 0.5000
0.0000 0.5000 0.8750
0.5000 0.0000 0.1250
0.5000 0.0000 0.5000
0.5000 0.0000 0.8750
0.5000 0.5000 0.3147
0.5000 0.5000 0.6853
```

Results
mass density = 8213 kg/m³
volume = 287.2 Å³ per cell
space group = P4/mmm (123)
raw total energy = -52.680 eV per cell
DFT formation energy = -0.355 eV/atom

2.
The following is a PBE calculation of a relaxed Rb2CdHgPt crystal, from the Alexandria database.

Structure (POSCAR):
```
Rb2CdHgPt
1.0
6.4695 0.0000 0.0000
0.0000 6.4695 0.0000
0.0000 0.0000 5.2338
Rb Cd Hg Pt
2 1 1 1
direct
0.0000 0.5000 0.0000
0.5000 0.0000 0.0000
0.0000 0.0000 0.5000
0.5000 0.5000 0.5000
0.0000 0.0000 0.0000
```

Results
mass density = 5147 kg/m³
volume = 219.1 Å³ per cell
space group = P4/mmm (123)
raw total energy = -9.527 eV per cell
energy above the lowest structure with this stoichiometry = 0 meV/atom
DFT formation energy = -0.067 eV/atom